{
  "formula": "Dy2SiH",
  "functional": "PBE",
  "state": "optimized geometry",
  "mass_density_g_cm3": 5.212,
  "n_ef_per_ev_atom": 0.895,
  "energy_ev_per_atom": -4.78,
  "relative_energy_mev_per_atom": 161,
  "cell": [[-0.630, -1.854, -3.849], [3.377, -0.941, -2.522], [1.371, -7.241, 0.841]],
  "species": ["H", "Si", "Dy", "Dy"],
  "frac_coords": [[0.000, 0.000, 0.000], [0.500, 0.500, 0.500], [0.101, 0.101, 0.696], [0.899, 0.899, 0.304]]
}

=====

{
  "formula": "Dy4Si2H",
  "functional": "PBE",
  "state": "optimized geometry",
  "mass_density_g_cm3": 7.728,
  "n_ef_per_ev_atom": 0.948,
  "energy_ev_per_atom": -5.21,
  "relative_energy_mev_per_atom": 27,
  "cell": [[-0.523, -2.410, -3.628], [-0.258, -3.630, 2.449], [-8.217, -2.110, -0.065]],
  "species": ["H", "Si", "Si", "Dy", "Dy", "Dy", "Dy"],
  "frac_coords": [[0.000, 0.000, 0.000], [0.634, 0.634, 0.732], [0.366, 0.366, 0.268], [0.819, 0.819, 0.362], [0.181, 0.181, 0.638], [0.000, 0.500, 0.000], [0.500, 0.000, 0.000]]
}

=====

{
  "formula": "Dy12Si3H5",
  "functional": "PBE",
  "state": "optimized geometry",
  "mass_density_g_cm3": 7.835,
  "n_ef_per_ev_atom": 0.730,
  "energy_ev_per_atom": -4.78,
  "cell": [[13.096, 0.000, 0.000], [-4.365, 12.347, 0.000], [-4.365, -6.173, 10.692]],
  "species": ["H", "H", "H", "H", "H", "H", "H", "H", "H", "H", "H", "H", "H", "H", "H", "H", "H", "H", "H", "H", "Si", "Si", "Si", "Si", "Si", "Si", "Si", "Si", "Si", "Si", "Si", "Si", "Dy", "Dy", "Dy", "Dy", "Dy", "Dy", "Dy", "Dy", "Dy", "Dy", "Dy", "Dy", "Dy", "Dy", "Dy", "Dy", "Dy", "Dy", "Dy", "Dy", "Dy", "Dy", "Dy", "Dy", "Dy", "Dy", "Dy", "Dy", "Dy", "Dy", "Dy", "Dy", "Dy", "Dy", "Dy", "Dy", "Dy", "Dy", "Dy", "Dy", "Dy", "Dy", "Dy", "Dy", "Dy", "Dy", "Dy", "Dy"],
  "frac_coords": [[0.125, 0.375, 0.250], [0.000, 0.500, 0.000], [0.000, 0.000, 0.000], [0.375, 0.250, 0.125], [0.500, 0.000, 0.500], [0.500, 0.500, 0.000], [0.125, 0.750, 0.375], [0.750, 0.125, 0.875], [0.750, 0.625, 0.375], [0.375, 0.125, 0.750], [0.625, 0.875, 0.250], [0.500, 0.500, 0.500], [0.500, 0.000, 0.000], [0.000, 0.000, 0.500], [0.250, 0.375, 0.625], [0.250, 0.875, 0.125], [0.000, 0.500, 0.500], [0.875, 0.250, 0.625], [0.625, 0.750, 0.875], [0.875, 0.625, 0.750], [0.750, 0.375, 0.125], [0.875, 0.750, 0.125], [0.375, 0.750, 0.625], [0.250, 0.125, 0.375], [0.875, 0.125, 0.250], [0.375, 0.625, 0.250], [0.625, 0.375, 0.750], [0.125, 0.875, 0.750], [0.750, 0.875, 0.625], [0.625, 0.250, 0.375], [0.125, 0.250, 0.875], [0.250, 0.625, 0.875], [0.714, 0.117, 0.023], [0.309, 0.523, 0.406], [0.977, 0.383, 0.286], [0.523, 0.214, 0.117], [0.597, 0.714, 0.691], [0.977, 0.594, 0.191], [0.309, 0.786, 0.403], [0.094, 0.903, 0.117], [0.594, 0.977, 0.691], [0.714, 0.597, 0.191], [0.786, 0.477, 0.383], [0.809, 0.906, 0.023], [0.117, 0.714, 0.523], [0.383, 0.406, 0.097], [0.097, 0.906, 0.383], [0.403, 0.117, 0.594], [0.097, 0.191, 0.214], [0.477, 0.691, 0.094], [0.809, 0.903, 0.286], [0.117, 0.403, 0.094], [0.383, 0.977, 0.786], [0.594, 0.617, 0.403], [0.906, 0.809, 0.523], [0.786, 0.309, 0.903], [0.406, 0.383, 0.597], [0.094, 0.191, 0.477], [0.214, 0.691, 0.097], [0.191, 0.097, 0.714], [0.617, 0.023, 0.214], [0.883, 0.597, 0.906], [0.523, 0.309, 0.906], [0.597, 0.883, 0.406], [0.903, 0.809, 0.786], [0.903, 0.094, 0.617], [0.883, 0.286, 0.477], [0.191, 0.094, 0.977], [0.617, 0.594, 0.903], [0.406, 0.023, 0.309], [0.286, 0.403, 0.809], [0.214, 0.523, 0.617], [0.906, 0.097, 0.883], [0.691, 0.214, 0.597], [0.477, 0.786, 0.883], [0.023, 0.406, 0.809], [0.403, 0.286, 0.309], [0.023, 0.617, 0.714], [0.691, 0.477, 0.594], [0.286, 0.883, 0.977]]
}

=====

{
  "formula": "Dy3Si2H",
  "functional": "PBE",
  "state": "optimized geometry",
  "mass_density_g_cm3": 6.664,
  "n_ef_per_ev_atom": 0.342,
  "energy_ev_per_atom": -5.16,
  "cell": [[5.699, 0.000, 0.000], [0.000, 7.934, 0.002], [-2.850, -1.983, 6.003]],
  "species": ["Dy", "Dy", "Dy", "Dy", "Dy", "Dy", "Si", "Si", "Si", "Si", "H", "H"],
  "frac_coords": [[0.473, 0.250, 0.000], [0.527, 0.750, 0.000], [0.163, 0.083, 0.330], [0.833, 0.417, 0.670], [0.167, 0.583, 0.330], [0.837, 0.917, 0.670], [0.667, 0.582, 0.329], [0.662, 0.082, 0.329], [0.338, 0.918, 0.671], [0.333, 0.418, 0.671], [0.960, 0.750, 0.000], [0.040, 0.250, 0.000]]
}

=====

{
  "formula": "Dy2SiH",
  "functional": "PBE",
  "state": "optimized geometry",
  "mass_density_g_cm3": 7.158,
  "n_ef_per_ev_atom": 0.734,
  "energy_ev_per_atom": -4.94,
  "relative_energy_mev_per_atom": 0,
  "cell": [[-2.831, 2.888, 0.364], [-3.225, -2.430, -5.792], [-1.216, -4.553, 4.016]],
  "species": ["Dy", "Dy", "Dy", "Dy", "Si", "Si", "H", "H"],
  "frac_coords": [[0.883, 0.627, 0.266], [0.383, 0.127, 0.266], [0.617, 0.873, 0.734], [0.117, 0.373, 0.734], [0.750, 0.250, 0.000], [0.250, 0.750, 0.000], [0.000, 0.000, 0.500], [0.500, 0.500, 0.500]]
}

=====

{
  "formula": "Dy4Si2H",
  "functional": "PBE",
  "state": "optimized geometry",
  "mass_density_g_cm3": 7.563,
  "n_ef_per_ev_atom": 0.609,
  "energy_ev_per_atom": -5.24,
  "relative_energy_mev_per_atom": 0,
  "cell": [[6.133, 0.000, -0.239], [0.000, 6.381, 0.000], [-2.530, 0.000, 8.035]],
  "species": ["Dy", "Dy", "Dy", "Dy", "Dy", "Dy", "Dy", "Dy", "Si", "Si", "Si", "Si", "H", "H"],
  "frac_coords": [[0.515, 0.500, 0.266], [0.096, 0.750, 0.911], [0.904, 0.250, 0.089], [0.515, 0.000, 0.266], [0.930, 0.250, 0.621], [0.485, 0.000, 0.734], [0.485, 0.500, 0.734], [0.070, 0.750, 0.379], [0.706, 0.750, 0.045], [0.294, 0.250, 0.955], [0.240, 0.250, 0.428], [0.760, 0.750, 0.572], [0.252, 0.750, 0.190], [0.748, 0.250, 0.810]]
}

=====

{
  "formula": "Dy8Si3Te4H",
  "functional": "PBE",
  "state": "optimized geometry",
  "mass_density_g_cm3": 7.446,
  "n_ef_per_ev_atom": 0.393,
  "energy_ev_per_atom": -5.31,
  "cell": [[8.338, 0.000, 0.000], [0.000, 8.511, 0.115], [-4.169, -4.165, 5.900]],
  "species": ["Dy", "Dy", "Dy", "Dy", "Dy", "Dy", "Dy", "Dy", "Si", "Si", "Si", "Te", "Te", "Te", "Te", "H"],
  "frac_coords": [[0.244, 0.720, 0.976], [0.244, 0.720, 0.488], [0.260, 0.281, 0.521], [0.733, 0.720, 0.976], [0.267, 0.280, 0.024], [0.740, 0.719, 0.479], [0.756, 0.280, 0.512], [0.756, 0.280, 0.024], [0.500, 0.500, 0.000], [0.500, 0.500, 0.500], [0.000, 0.500, 0.500], [0.500, 0.000, 0.000], [0.500, 0.000, 0.500], [0.000, 0.000, 0.000], [0.000, 0.000, 0.500], [0.000, 0.500, 0.000]]
}

=====

{
  "formula": "Sm2Dy2H",
  "functional": "PBE",
  "state": "optimized geometry",
  "mass_density_g_cm3": 8.130,
  "n_ef_per_ev_atom": 0.999,
  "energy_ev_per_atom": -4.57,
  "cell": [[5.048, 0.000, 0.000], [0.000, 5.036, 0.000], [0.000, 0.000, 5.036]],
  "species": ["Sm", "Sm", "Dy", "Dy", "H"],
  "frac_coords": [[0.500, 0.500, 0.500], [0.500, 0.000, 0.000], [0.000, 0.000, 0.500], [0.000, 0.500, 0.000], [0.000, 0.000, 0.000]]
}

=====

{
  "formula": "SmDyH2",
  "functional": "PBE",
  "state": "optimized geometry",
  "mass_density_g_cm3": 8.453,
  "n_ef_per_ev_atom": 0.642,
  "energy_ev_per_atom": -4.39,
  "relative_energy_mev_per_atom": 0,
  "cell": [[-3.289, -1.186, -0.474], [-0.984, -1.263, -3.144], [0.241, -6.070, 0.383]],
  "species": ["H", "H", "Sm", "Dy"],
  "frac_coords": [[0.754, 0.754, 0.738], [0.246, 0.246, 0.262], [0.000, 0.000, 0.000], [0.500, 0.500, 0.500]]
}

=====

{
  "formula": "Sm2DyH8",
  "functional": "PBE",
  "state": "optimized geometry",
  "mass_density_g_cm3": 7.181,
  "n_ef_per_ev_atom": 0.134,
  "energy_ev_per_atom": -4.32,
  "cell": [[3.575, 0.000, -1.088], [-0.774, 4.481, -2.545], [0.001, 0.617, 6.420]],
  "species": ["Sm", "Sm", "Dy", "H", "H", "H", "H", "H", "H", "H", "H"],
  "frac_coords": [[0.168, 0.668, 0.337], [0.832, 0.332, 0.663], [0.500, 0.000, 0.000], [0.657, 0.901, 0.314], [0.343, 0.586, 0.686], [0.162, 0.162, 0.324], [0.000, 0.259, 0.000], [0.838, 0.838, 0.676], [0.657, 0.414, 0.314], [0.343, 0.099, 0.686], [0.000, 0.741, 0.000]]
}

=====

{
  "formula": "Sm5Dy3H12",
  "functional": "PBE",
  "state": "optimized geometry",
  "mass_density_g_cm3": 7.090,
  "n_ef_per_ev_atom": 0.615,
  "energy_ev_per_atom": -4.33,
  "cell": [[-10.468, -4.382, -1.896], [6.920, -8.231, 4.092], [-0.751, 8.543, 7.669]],
  "species": ["Dy", "Dy", "Dy", "Dy", "Dy", "Dy", "Dy", "Dy", "Dy", "Dy", "Dy", "Dy", "Sm", "Sm", "Sm", "Sm", "Sm", "Sm", "Sm", "Sm", "Sm", "Sm", "Sm", "Sm", "Sm", "Sm", "Sm", "Sm", "Sm", "Sm", "Sm", "Sm", "H", "H", "H", "H", "H", "H", "H", "H", "H", "H", "H", "H", "H", "H", "H", "H", "H", "H", "H", "H", "H", "H", "H", "H", "H", "H", "H", "H", "H", "H", "H", "H", "H", "H", "H", "H", "H", "H", "H", "H", "H", "H", "H", "H", "H", "H", "H", "H"],
  "frac_coords": [[0.750, 0.375, 0.125], [0.875, 0.750, 0.125], [0.375, 0.750, 0.625], [0.250, 0.125, 0.375], [0.875, 0.125, 0.250], [0.375, 0.625, 0.250], [0.625, 0.375, 0.750], [0.125, 0.875, 0.750], [0.750, 0.875, 0.625], [0.625, 0.250, 0.375], [0.125, 0.250, 0.875], [0.250, 0.625, 0.875], [0.125, 0.375, 0.250], [0.000, 0.500, 0.000], [0.000, 0.000, 0.000], [0.375, 0.250, 0.125], [0.500, 0.000, 0.500], [0.500, 0.500, 0.000], [0.125, 0.750, 0.375], [0.750, 0.125, 0.875], [0.750, 0.625, 0.375], [0.375, 0.125, 0.750], [0.625, 0.875, 0.250], [0.500, 0.500, 0.500], [0.500, 0.000, 0.000], [0.000, 0.000, 0.500], [0.250, 0.375, 0.625], [0.250, 0.875, 0.125], [0.000, 0.500, 0.500], [0.875, 0.250, 0.625], [0.625, 0.750, 0.875], [0.875, 0.625, 0.750], [0.727, 0.158, 0.070], [0.343, 0.570, 0.413], [0.930, 0.342, 0.273], [0.570, 0.227, 0.158], [0.570, 0.727, 0.657], [0.930, 0.587, 0.157], [0.343, 0.773, 0.430], [0.087, 0.930, 0.158], [0.587, 0.930, 0.657], [0.727, 0.570, 0.157], [0.773, 0.430, 0.342], [0.843, 0.913, 0.070], [0.158, 0.727, 0.570], [0.342, 0.413, 0.070], [0.070, 0.913, 0.342], [0.430, 0.158, 0.587], [0.070, 0.157, 0.227], [0.430, 0.657, 0.087], [0.843, 0.930, 0.273], [0.158, 0.430, 0.087], [0.342, 0.930, 0.773], [0.587, 0.658, 0.430], [0.913, 0.843, 0.570], [0.773, 0.343, 0.930], [0.413, 0.342, 0.570], [0.087, 0.157, 0.430], [0.227, 0.657, 0.070], [0.157, 0.070, 0.727], [0.658, 0.070, 0.227], [0.842, 0.570, 0.913], [0.570, 0.343, 0.913], [0.570, 0.842, 0.413], [0.930, 0.843, 0.773], [0.930, 0.087, 0.658], [0.842, 0.273, 0.430], [0.157, 0.087, 0.930], [0.658, 0.587, 0.930], [0.413, 0.070, 0.343], [0.273, 0.430, 0.843], [0.227, 0.570, 0.658], [0.913, 0.070, 0.842], [0.657, 0.227, 0.570], [0.430, 0.773, 0.842], [0.070, 0.413, 0.843], [0.430, 0.273, 0.343], [0.070, 0.658, 0.727], [0.657, 0.430, 0.587], [0.273, 0.842, 0.930]]
}

=====

{
  "formula": "SmDy3H",
  "functional": "PBE",
  "state": "optimized geometry",
  "mass_density_g_cm3": 8.454,
  "n_ef_per_ev_atom": 0.956,
  "energy_ev_per_atom": -4.54,
  "cell": [[5.006, 0.000, 0.000], [0.000, 5.006, 0.000], [0.000, 0.000, 5.006]],
  "species": ["H", "Sm", "Dy", "Dy", "Dy"],
  "frac_coords": [[0.000, 0.000, 0.000], [0.500, 0.500, 0.500], [0.000, 0.500, 0.000], [0.000, 0.000, 0.500], [0.500, 0.000, 0.000]]
}